A relaxed structure of MgCr2Au. Source: Alexandria via LeMat-Bulk, functional PBE-GGA.

Calculated formation energy   54.6 kJ per mole of atoms
Space-group type   Cmmm (65)

Cell lengths 3.733, 3.745, 8.579 Å; angles 90.00, 90.00, 90.00 degrees
Atoms (fractional coordinates):
Mg1 0.000 0.000 0.000
Mg2 0.500 0.500 0.000
Cr1 0.000 0.500 0.254
Cr2 0.000 0.500 0.746
Cr3 0.500 0.000 0.254
Cr4 0.500 0.000 0.746
Au1 0.000 0.000 0.500
Au2 0.500 0.500 0.500